No. 1
This record from Alexandria via LeMat-Bulk describes a relaxed structure of Pu4SbI5. The functional is PBE. Values from VASP.

Computed properties:
Fermi-level density of states = 51.946 states/eV/cell
spin magnetization = 0.2 μB/f.u.
total DFT energy (no corrections) = -7.796 eV/atom
ΔE_f (raw) = -8.756 eV per formula unit
SG = C2/m, No. 12
mass density = 7665 kg/m3

Structure (Quantum ESPRESSO input):
```
&SYSTEM
  ibrav = 0, nat = 10, ntyp = 3
/
ATOMIC_SPECIES
Pu 244.00 Pu.upf
Sb 121.76 Sb.upf
I 126.90 I.upf
CELL_PARAMETERS angstrom
9.685 -2.190 0.000
9.685 2.190 0.000
-1.798 0.000 8.845
ATOMIC_POSITIONS crystal
Pu 0.002 0.002 0.242
Pu 0.337 0.337 0.930
Pu 0.663 0.663 0.070
Pu 0.998 0.998 0.758
Sb 0.500 0.500 0.000
I 0.169 0.169 0.329
I 0.169 0.169 0.815
I 0.500 0.500 0.500
I 0.831 0.831 0.185
I 0.831 0.831 0.671
```



No. 2
This record from Alexandria via LeMat-Bulk describes a relaxed structure of PuSbI2. The functional is PBE. Values from VASP.

Computed properties:
Fermi-level density of states = 26.504 states/eV/cell
spin magnetization = 6.3 μB/f.u.
total DFT energy (no corrections) = -5.131 eV/atom
ΔE_f (raw) = 1.031 eV per formula unit
SG = R-3m, No. 166
mass density = 6624 kg/m3

Structure (Quantum ESPRESSO input):
```
&SYSTEM
  ibrav = 0, nat = 12, ntyp = 3
/
ATOMIC_SPECIES
Pu 244.00 Pu.upf
Sb 121.76 Sb.upf
I 126.90 I.upf
CELL_PARAMETERS angstrom
3.545 0.000 0.000
-1.773 3.070 0.000
0.000 0.000 42.812
ATOMIC_POSITIONS crystal
Pu 0.000 0.000 0.000
Pu 0.333 0.667 0.667
Pu 0.667 0.333 0.333
Sb 0.000 0.000 0.500
Sb 0.333 0.667 0.167
Sb 0.667 0.333 0.833
I 0.000 0.000 0.070
I 0.000 0.000 0.930
I 0.333 0.667 0.597
I 0.333 0.667 0.736
I 0.667 0.333 0.264
I 0.667 0.333 0.403
```



No. 3
This record from Alexandria via LeMat-Bulk describes a relaxed structure of PuSbI. The functional is PBE. Values from VASP.

Computed properties:
Fermi-level density of states = 21.697 states/eV/cell
spin magnetization = 5.4 μB/f.u.
total DFT energy (no corrections) = -7.150 eV/atom
ΔE_f (raw) = -1.446 eV per formula unit
SG = I4mm, No. 107
mass density = 8240 kg/m3

Structure (Quantum ESPRESSO input):
```
&SYSTEM
  ibrav = 0, nat = 6, ntyp = 3
/
ATOMIC_SPECIES
Pu 244.00 Pu.upf
Sb 121.76 Sb.upf
I 126.90 I.upf
CELL_PARAMETERS angstrom
3.653 0.000 0.000
0.000 3.653 0.000
0.000 0.000 14.883
ATOMIC_POSITIONS crystal
Pu 0.000 0.000 0.000
Pu 0.500 0.500 0.500
Sb 0.000 0.000 0.363
Sb 0.500 0.500 0.863
I 0.000 0.000 0.633
I 0.500 0.500 0.133
```



What did the second record say?
This record from Alexandria via LeMat-Bulk describes a relaxed structure of PuSbI2. The functional is PBE. Values from VASP.

Computed properties:
Fermi-level density of states = 26.504 states/eV/cell
spin magnetization = 6.3 μB/f.u.
total DFT energy (no corrections) = -5.131 eV/atom
ΔE_f (raw) = 1.031 eV per formula unit
SG = R-3m, No. 166
mass density = 6624 kg/m3

Structure (Quantum ESPRESSO input):
```
&SYSTEM
  ibrav = 0, nat = 12, ntyp = 3
/
ATOMIC_SPECIES
Pu 244.00 Pu.upf
Sb 121.76 Sb.upf
I 126.90 I.upf
CELL_PARAMETERS angstrom
3.545 0.000 0.000
-1.773 3.070 0.000
0.000 0.000 42.812
ATOMIC_POSITIONS crystal
Pu 0.000 0.000 0.000
Pu 0.333 0.667 0.667
Pu 0.667 0.333 0.333
Sb 0.000 0.000 0.500
Sb 0.333 0.667 0.167
Sb 0.667 0.333 0.833
I 0.000 0.000 0.070
I 0.000 0.000 0.930
I 0.333 0.667 0.597
I 0.333 0.667 0.736
I 0.667 0.333 0.264
I 0.667 0.333 0.403
```



> Which value of mass density does entry 1 give?

7665 kg/m3